First-principles (PBE-GGA) data for Pu3In4Hg4 after structural relaxation, as listed in the Alexandria database.

Summary:
Space group: Amm2, No. 38

Cell lengths 5.013, 6.239, 10.071 Å; angles 90.00, 90.00, 113.69 degrees
Site moments in Bohr magnetons follow the coordinates.
Sites, in units of the cell vectors:
1 Pu 0.238 0.476 0.000  5.42
2 Hg 0.919 0.838 0.500  -0.04
3 In 0.544 0.088 0.000  -0.02
4 Hg 0.736 0.473 0.789  -0.01
5 In 0.109 0.218 0.709  -0.01
6 Hg 0.736 0.473 0.211  -0.01
7 In 0.109 0.218 0.291  -0.01
8 Pu 0.413 0.826 0.294  -5.54
9 Hg 0.927 0.855 0.000  0.01
10 Pu 0.413 0.826 0.706  -5.54
11 In 0.654 0.307 0.500  0.02

=====

First-principles (PBE-GGA) data for Pr4Nd2HoSc after structural relaxation, as listed in the Alexandria database.

Summary:
Space group: P2/m, No. 10

Cell lengths 5.166, 5.134, 11.390 Å; angles 63.16, 90.00, 90.00 degrees
Sites, in units of the cell vectors:
1 Pr 0.000 0.755 0.745
2 Pr 0.500 0.746 0.254
3 Nd 0.000 0.000 0.000
4 Nd 0.500 0.000 0.500
5 Pr 0.500 0.254 0.746
6 Pr 0.000 0.245 0.255
7 Ho 0.500 0.500 0.000
8 Sc 0.000 0.500 0.500

=====

First-principles (PBE-GGA) data for TaRu2Rh after structural relaxation, as listed in the Alexandria database.

Summary:
Polymorph energy (0 for the lowest one): 0.44 eV per formula unit
Space group: I4/mmm, No. 139

Cell lengths 4.771, 4.771, 4.771 Å; angles 131.47, 131.46, 71.08 degrees
Sites, in units of the cell vectors:
1 Rh 0.250 0.750 0.500
2 Ru 0.000 0.000 0.000
3 Ru 0.500 0.500 0.000
4 Ta 0.750 0.250 0.500

=====

First-principles (PBE-GGA) data for CsRbCa2Mo after structural relaxation, as listed in the Alexandria database.

Summary:
Polymorph energy (0 for the lowest one): 0.00 eV per formula unit
Space group: P4/mmm, No. 123

Cell lengths 6.524, 6.524, 5.357 Å; angles 90.00, 90.00, 90.00 degrees
Site moments in Bohr magnetons follow the coordinates.
Sites, in units of the cell vectors:
1 Rb 0.500 0.500 0.500  -0.02
2 Ca 0.000 0.500 0.000  -0.11
3 Ca 0.500 0.000 0.000  -0.11
4 Cs 0.000 0.000 0.000  -0.03
5 Mo 0.000 0.000 0.500  2.17

=====

First-principles (PBE-GGA) data for SmDy8Y2 after structural relaxation, as listed in the Alexandria database.

Summary:
Polymorph energy (0 for the lowest one): 0.46 eV per formula unit
Space group: C2/m, No. 12

Cell lengths 5.557, 10.167, 10.167 Å; angles 39.79, 92.87, 92.87 degrees
Sites, in units of the cell vectors:
1 Dy 0.731 0.398 0.866
2 Dy 0.269 0.134 0.602
3 Sm 0.000 0.000 0.000
4 Dy 0.764 0.453 0.453
5 Y 0.251 0.716 0.716
6 Dy 0.232 0.187 0.187
7 Dy 0.236 0.547 0.547
8 Dy 0.269 0.602 0.134
9 Dy 0.731 0.866 0.398
10 Y 0.749 0.284 0.284
11 Dy 0.768 0.813 0.813

=====

First-principles (PBE-GGA) data for Cr2RuRh after structural relaxation, as listed in the Alexandria database.

Summary:
Space group: Cm, No. 8

Cell lengths 4.761, 4.761, 4.457 Å; angles 68.95, 68.95, 33.56 degrees
Sites, in units of the cell vectors:
1 Rh 0.485 0.485 0.557
2 Cr 0.024 0.024 0.034
3 Ru 0.266 0.266 0.192
4 Cr 0.725 0.725 0.718

=====

First-principles (PBE-GGA) data for Ti3Ga4Cu after structural relaxation, as listed in the Alexandria database.

Summary:
Polymorph energy (0 for the lowest one): 0.40 eV per formula unit
Space group: Pmn2_1, No. 31

Cell lengths 4.958, 5.629, 9.254 Å; angles 90.00, 90.00, 90.00 degrees
Sites, in units of the cell vectors:
1 Ga 0.029 0.130 0.752
2 Ga 0.029 0.130 0.248
3 Ga 0.529 0.870 0.252
4 Ga 0.606 0.120 0.500
5 Ti 0.094 0.383 0.500
6 Ga 0.592 0.139 0.000
7 Ga 0.092 0.861 0.500
8 Ti 0.520 0.386 0.733
9 Ti 0.594 0.617 0.000
10 Ti 0.020 0.614 0.233
11 Cu 0.626 0.635 0.500
12 Ti 0.520 0.386 0.267
13 Ga 0.106 0.880 0.000
14 Ga 0.529 0.870 0.748
15 Cu 0.126 0.365 0.000
16 Ti 0.020 0.614 0.767

=====

| no. | spin magnetization (Bohr magnetons per cell) | final energy (eV/atom) | formation energy from the elements (meV per atom) |
| --- | --- | --- | --- |
| 1 | 6.28 | -5.064 | -50 |
| 2 | 0.00 | -4.916 | 30 |
| 3 | 0.00 | -9.664 | -225 |
| 4 | 1.50 | -1.754 | 1577 |
| 5 | 0.00 | -4.792 | 159 |
| 6 | 0.00 | -8.956 | 13 |
| 7 | 0.00 | -5.147 | -161 |